Entry 1:
BaRe2Ir: optimized geometry, GGA-PBEsol.

It has space group P4/mmm (No. 123), with a = 2.8058 Å, b = 2.8058 Å, c = 9.4097 Å, α = 90.00°, β = 90.00° and γ = 90.00°. The asymmetric unit holds Ba at (0.0000, 0.0000, 0.0000), Re at (0.5000, 0.5000, 0.3021) and Ir at (0.0000, 0.0000, 0.5000).

The value obtained for the formation energy is 0.880 eV per atom. The energy above the most stable polymorph in this dataset is 0.1707 eV/atom. Its crystal system is tetragonal. The mass density is 15.74 g cm⁻³.

=====

Entry 2:
BaReIr: optimized geometry, GGA-PBEsol.

It has space group F-43m (No. 216), with a = 6.5610 Å, b = 6.5610 Å, c = 6.5610 Å, α = 90.00°, β = 90.00° and γ = 90.00°. The asymmetric unit holds Ba at (0.0000, 0.0000, 0.0000), Re at (0.2500, 0.2500, 0.2500) and Ir at (0.2500, 0.2500, 0.7500).

The value obtained for the formation energy is 2.580 eV per atom. Its crystal system is cubic. The mass density is 12.13 g cm⁻³.

=====

Entry 3:
BaReIr2: optimized geometry, GGA-PBEsol.

It has space group Cmmm (No. 65), with a = 6.0336 Å, b = 8.2748 Å, c = 2.8835 Å, α = 90.00°, β = 90.00° and γ = 90.00°. The asymmetric unit holds Ba at (0.0000, 0.0000, 0.0000), Re at (0.0000, 0.5000, 0.0000) and Ir at (0.2500, 0.2500, 0.5000).

The value obtained for the formation energy is 0.989 eV per atom. The energy above the most stable polymorph in this dataset is 0.0000 eV/atom. Its crystal system is orthorhombic. The mass density is 16.33 g cm⁻³.

=====

Entry 4:
BaReIr2: optimized geometry, GGA-PBEsol.

It has space group P4/mmm (No. 123), with a = 4.1869 Å, b = 4.1869 Å, c = 4.1569 Å, α = 90.00°, β = 90.00° and γ = 90.00°. The asymmetric unit holds Ba at (0.0000, 0.0000, 0.0000), Re at (0.5000, 0.5000, 0.0000) and Ir at (0.0000, 0.5000, 0.5000).

The value obtained for the formation energy is 1.325 eV per atom. The energy above the most stable polymorph in this dataset is 0.3361 eV/atom. Its crystal system is tetragonal. The mass density is 16.13 g cm⁻³.

=====

Entry 5:
Ba2SrReIr: optimized geometry, GGA-PBEsol.

It has space group P4/mmm (No. 123), with a = 5.9559 Å, b = 5.9559 Å, c = 4.7062 Å, α = 90.00°, β = 90.00° and γ = 90.00°. The asymmetric unit holds Ba at (0.0000, 0.5000, 0.0000), Sr at (0.0000, 0.0000, 0.0000), Re at (0.0000, 0.0000, 0.5000) and Ir at (0.5000, 0.5000, 0.5000).

The value obtained for the formation energy is 2.211 eV per atom. Its crystal system is tetragonal. The mass density is 7.37 g cm⁻³.

=====

Entry 6:
Ba2IrRh: optimized geometry, GGA-PBEsol.

It has space group P4/mmm (No. 123), with a = 4.9196 Å, b = 4.9196 Å, c = 4.1218 Å, α = 90.00°, β = 90.00° and γ = 90.00°. The asymmetric unit holds Ba at (0.0000, 0.5000, 0.0000), Ir at (0.0000, 0.0000, 0.5000) and Rh at (0.5000, 0.5000, 0.5000).

The value obtained for the formation energy is 0.387 eV per atom. The energy above the most stable polymorph in this dataset is 0.4540 eV/atom. Its crystal system is tetragonal. The mass density is 9.48 g cm⁻³.

=====

Entry 7:
Ba2IrRh: optimized geometry, GGA-PBEsol.

It has space group Amm2 (No. 38), with a = 4.5685 Å, b = 4.8790 Å, c = 10.7278 Å, α = 90.00°, β = 90.00° and γ = 90.00°. The asymmetric unit holds Ba at (0.0000, 0.0000, 0.0000), Ba at (0.5000, 0.0000, 0.2949), Ir at (0.0000, 0.0000, 0.6851) and Rh at (0.5000, 0.0000, 0.6133).

The value obtained for the formation energy is -0.067 eV per atom. The energy above the most stable polymorph in this dataset is 0.0000 eV/atom. Its crystal system is orthorhombic. The mass density is 7.91 g cm⁻³.

=====

Entry 8:
Ba4IrRh: optimized geometry, GGA-PBEsol.

It has space group F-43m (No. 216), with a = 9.0902 Å, b = 9.0902 Å, c = 9.0902 Å, α = 90.00°, β = 90.00° and γ = 90.00°. The asymmetric unit holds Ba at (0.1252, 0.1252, 0.1252), Ir at (0.0000, 0.0000, 0.5000) and Rh at (0.2500, 0.2500, 0.7500).

The value obtained for the formation energy is 1.170 eV per atom. Its crystal system is cubic. The mass density is 7.47 g cm⁻³.

=====

Q: Among the records above, which one has the lowest mass density?
A: Ba2SrReIr

=====

Q: The lowest mass density belongs to which entry?
A: Ba2SrReIr